No. 1
Crystalline Li2TeSe at its relaxed geometry, computed with PBE-GGA.

## Properties
Formation energy from raw total energies: -0.714 eV/atom
Space-group type: No. 122
Calculated density: 4.31 g/cm³
Polymorph energy (0 for the lowest one): 69 meV/atom
Magnetic moment: 0.00 μB per cell
N(E_F): 0.5 states/eV/f.u.

Cell lengths 6.123, 6.123, 6.123 Å; angles 103.40, 103.40, 122.44 degrees
Element x y z (fractional)
Li  0.081  0.125  0.456
Li  0.375  0.919  0.044
Li  0.669  0.625  0.544
Li  0.875  0.331  0.956
Te  0.250  0.750  0.500
Te  0.500  0.500  0.000
Se  0.000  0.000  0.000
Se  0.750  0.250  0.500

---

No. 2
Crystalline LiTeSe2 at its relaxed geometry, computed with PBE-GGA.

## Properties
Formation energy from raw total energies: -0.356 eV/atom
Space-group type: No. 65
Calculated density: 5.06 g/cm³
Magnetic moment: 0.00 μB per cell
N(E_F): 1.1 states/eV/f.u.

Cell lengths 4.997, 4.997, 3.988 Å; angles 90.00, 90.00, 105.59 degrees
Element x y z (fractional)
Li  0.000  0.000  0.000
Te  0.500  0.500  0.000
Se  0.249  0.751  0.500
Se  0.751  0.249  0.500

---

No. 3
Crystalline Li2TeSe at its relaxed geometry, computed with PBE-GGA.

## Properties
Formation energy from raw total energies: -0.699 eV/atom
Space-group type: No. 35
Calculated density: 4.01 g/cm³
Polymorph energy (0 for the lowest one): 84 meV/atom
Magnetic moment: 0.00 μB per cell
N(E_F): 1.5 states/eV/f.u.

Cell lengths 3.333, 3.333, 8.222 Å; angles 90.00, 90.00, 90.14 degrees
Element x y z (fractional)
Li  0.000  0.000  0.000
Li  0.500  0.500  0.437
Te  0.500  0.500  0.785
Se  0.000  0.000  0.299

---

No. 4
Crystalline Li2TeSe at its relaxed geometry, computed with PBE-GGA.

## Properties
Formation energy from raw total energies: -0.664 eV/atom
Space-group type: No. 47
Calculated density: 4.37 g/cm³
Polymorph energy (0 for the lowest one): 118 meV/atom
Magnetic moment: 0.00 μB per cell
N(E_F): 3.4 states/eV/f.u.

Cell lengths 3.040, 4.730, 5.832 Å; angles 90.00, 90.00, 90.00 degrees
Element x y z (fractional)
Li  0.000  0.000  0.000
Li  0.500  0.500  0.500
Te  0.000  0.000  0.500
Se  0.500  0.500  0.000

---

No. 5
Crystalline Li6Te2Se at its relaxed geometry, computed with PBE-GGA.

## Properties
Formation energy from raw total energies: -1.097 eV/atom
Space-group type: No. 139
Calculated density: 3.24 g/cm³
Magnetic moment: 0.00 μB per cell
N(E_F): 0.0 states/eV/f.u.

Cell lengths 10.095, 10.095, 10.095 Å; angles 154.33, 154.33, 36.63 degrees
Element x y z (fractional)
Li  0.077  0.577  0.500
Li  0.250  0.750  0.500
Li  0.423  0.923  0.500
Li  0.577  0.077  0.500
Li  0.750  0.250  0.500
Li  0.923  0.423  0.500
Te  0.163  0.163  0.000
Te  0.837  0.837  0.000
Se  0.500  0.500  0.000

---

No. 6
Crystalline Li2TeSe at its relaxed geometry, computed with PBE-GGA.

## Properties
Formation energy from raw total energies: -0.638 eV/atom
Space-group type: No. 44
Calculated density: 4.33 g/cm³
Polymorph energy (0 for the lowest one): 145 meV/atom
Magnetic moment: 0.00 μB per cell
N(E_F): 2.0 states/eV/f.u.

Cell lengths 6.337, 6.337, 6.337 Å; angles 147.80, 141.24, 51.25 degrees
Element x y z (fractional)
Li  0.000  0.000  0.000
Li  0.711  0.211  0.500
Te  0.405  0.405  0.000
Se  0.182  0.682  0.500

---

No. 7
Crystalline Li2TeSe at its relaxed geometry, computed with PBE-GGA.

## Properties
Formation energy from raw total energies: -0.241 eV/atom
Space-group type: No. 160
Calculated density: 3.72 g/cm³
Polymorph energy (0 for the lowest one): 542 meV/atom
Magnetic moment: 0.00 μB per cell
N(E_F): 2.2 states/eV/f.u.

Cell lengths 10.883, 10.883, 10.883 Å; angles 17.20, 17.20, 17.20 degrees
Element x y z (fractional)
Li  0.000  0.000  0.000
Li  0.242  0.242  0.242
Te  0.510  0.510  0.510
Se  0.719  0.719  0.719

---

No. 8
Crystalline Li2TeSe at its relaxed geometry, computed with PBE-GGA.

## Properties
Formation energy from raw total energies: -0.698 eV/atom
Space-group type: No. 65
Calculated density: 4.29 g/cm³
Polymorph energy (0 for the lowest one): 85 meV/atom
Magnetic moment: 0.00 μB per cell
N(E_F): 1.1 states/eV/f.u.

Cell lengths 3.257, 3.257, 8.066 Å; angles 90.00, 90.00, 95.04 degrees
Element x y z (fractional)
Li  0.000  0.000  0.188
Li  0.000  0.000  0.812
Te  0.500  0.500  0.500
Se  0.500  0.500  0.000